(1)
A plane-wave DFT calculation with GGA-PBE was carried out for a relaxed structure of Ba2In3Ga4Ag.

abc: 4.784 4.784 11.454
angles: 90.00 90.00 90.00
Element x y z (fractional)
In 0.500 0.000 0.869
In 0.000 0.500 0.131
In 0.000 0.000 0.500
Ba 0.000 0.500 0.753
Ba 0.500 0.000 0.247
Ga 0.000 0.500 0.372
Ga 0.500 0.000 0.628
Ga 0.500 0.500 0.000
Ga 0.000 0.000 0.000
Ag 0.500 0.500 0.500

Values from the calculation:
- energy relative to the elements (eV per atom) = -0.360
- space-group type = P-4m2 (115)

***

(2)
A plane-wave DFT calculation with GGA-PBE was carried out for a relaxed structure of SrAsAu3.

abc: 5.757 5.757 5.757
angles: 90.00 90.00 90.00
Last column: magnetic moment on the atom in μB.
Element x y z (fractional)
Au 0.500 0.000 0.000  -0.03
Au 0.000 0.000 0.500  0.04
Au 0.000 0.500 0.000  -0.02
As 0.500 0.500 0.500  0.92
Sr 0.000 0.000 0.000  0.00

Values from the calculation:
- energy relative to the elements (eV per atom) = 0.952
- space-group type = Pm-3m (221)
- relative energy among the computed polymorphs (meV/atom) = 1230

***

(3)
A plane-wave DFT calculation with GGA-PBE was carried out for a relaxed structure of Sr4PaN4.

abc: 3.707 6.540 8.548
angles: 76.09 77.48 73.53
Element x y z (fractional)
N 0.327 0.091 0.255
N 0.673 0.909 0.745
N 0.080 0.759 0.080
N 0.920 0.241 0.920
Sr 0.894 0.839 0.373
Sr 0.291 0.604 0.814
Sr 0.106 0.161 0.627
Sr 0.709 0.396 0.186
Pa 0.500 0.000 0.000

Values from the calculation:
- raw formation energy (eV/atom) = -0.988
- space-group type = C2/m (12)